PrDyHgRh: optimized geometry, PBE.

Unit cell a=5.1583 b=5.1583 c=5.1583 alpha=60.00 beta=60.00 gamma=60.00
Sites, in units of the cell vectors:
Pr 0.0000 0.0000 0.0000
Dy 0.5000 0.5000 0.5000
Hg 0.7500 0.7500 0.7500
Rh 0.2500 0.2500 0.2500

## Properties
Spin magnetization = 0.000 Bohr magnetons per cell
VASP energy = -19.2 eV per cell
Calculated density = 10.38 g/cm3
DFT formation energy = -0.54 eV/atom

=====

PrDyHgSb: optimized geometry, PBE.

Unit cell a=5.3910 b=5.3910 c=5.3910 alpha=60.00 beta=60.00 gamma=60.00
Sites, in units of the cell vectors:
Pr 0.0000 0.0000 0.0000
Dy 0.5000 0.5000 0.5000
Hg 0.2500 0.2500 0.2500
Sb 0.7500 0.7500 0.7500

## Properties
Spin magnetization = 0.000 Bohr magnetons per cell
VASP energy = -16.3 eV per cell
Calculated density = 9.38 g/cm3
Formation energy from raw total energies = -0.634 eV/atom

=====

Pr2DyHgSe5: optimized geometry, PBE.

Unit cell a=9.1719 b=9.1719 c=12.8339 alpha=90.00 beta=90.00 gamma=154.01
Sites, in units of the cell vectors:
Pr 0.1187 0.8813 0.5000
Pr 0.1337 0.8663 0.1244
Pr 0.8663 0.1337 0.6244
Pr 0.8813 0.1187 0.0000
Dy 0.1978 0.8022 0.8243
Dy 0.8022 0.1978 0.3243
Hg 0.4587 0.5413 0.2790
Hg 0.5413 0.4587 0.7790
Se 0.0460 0.9540 0.9065
Se 0.2888 0.7112 0.4813
Se 0.3064 0.6936 0.1644
Se 0.3564 0.6436 0.8170
Se 0.4965 0.5035 0.5885
Se 0.5035 0.4965 0.0885
Se 0.6436 0.3564 0.3170
Se 0.6936 0.3064 0.6644
Se 0.7112 0.2888 0.9813
Se 0.9540 0.0460 0.4065

## Properties
Spin magnetization = 0.000 Bohr magnetons per cell
VASP energy = -90.1 eV per cell
Calculated density = 7.30 g/cm3
Formation energy from raw total energies = -1.463 eV/atom

=====

Pr2DySn2Hg2: optimized geometry, PBE.

Unit cell a=9.6796 b=9.6796 c=9.6796 alpha=30.00 beta=30.00 gamma=30.00
Sites, in units of the cell vectors:
Pr 0.1291 0.1291 0.1291
Pr 0.8709 0.8709 0.8709
Dy 0.0000 0.0000 0.0000
Sn 0.2753 0.2753 0.2753
Sn 0.7247 0.7247 0.7247
Hg 0.4236 0.4236 0.4236
Hg 0.5764 0.5764 0.5764

## Properties
Spin magnetization = 0.000 Bohr magnetons per cell
VASP energy = -25.1 eV per cell
Calculated density = 8.95 g/cm3
DFT formation energy = -0.33 eV/atom

=====

PrDy2Sn2Hg2: optimized geometry, PBE.

Unit cell a=9.4436 b=9.4436 c=9.4436 alpha=30.75 beta=30.75 gamma=30.75
Sites, in units of the cell vectors:
Pr 0.0000 0.0000 0.0000
Dy 0.1317 0.1317 0.1317
Dy 0.8683 0.8683 0.8683
Sn 0.2673 0.2673 0.2673
Sn 0.7327 0.7327 0.7327
Hg 0.4341 0.4341 0.4341
Hg 0.5659 0.5659 0.5659

## Properties
Spin magnetization = 0.000 Bohr magnetons per cell
VASP energy = -25.1 eV per cell
Calculated density = 9.39 g/cm3
DFT formation energy = -0.35 eV/atom

=====

PrDySnHg: optimized geometry, PBE.

Unit cell a=5.3886 b=5.3886 c=5.3886 alpha=60.00 beta=60.00 gamma=60.00
Sites, in units of the cell vectors:
Pr 0.0000 0.0000 0.0000
Dy 0.5000 0.5000 0.5000
Sn 0.2500 0.2500 0.2500
Hg 0.7500 0.7500 0.7500

## Properties
Spin magnetization = 0.000 Bohr magnetons per cell
VASP energy = -16.0 eV per cell
Calculated density = 9.35 g/cm3
DFT formation energy = -0.58 eV/atom

=====

PrDySnHg: optimized geometry, PBE.

Unit cell a=4.4801 b=6.2563 c=6.2563 alpha=41.77 beta=90.00 gamma=90.00
Sites, in units of the cell vectors:
Pr 0.0000 0.0000 0.0000
Dy 0.5000 0.2772 0.2772
Sn 0.0000 0.7251 0.7251
Hg 0.5000 0.5517 0.5517

## Properties
Spin magnetization = 0.003 Bohr magnetons per cell
VASP energy = -16.0 eV per cell
Calculated density = 8.85 g/cm3
DFT formation energy = -0.58 eV/atom

=====

TbPrDy2Hg4: optimized geometry, PBE.

Unit cell a=9.2522 b=9.2522 c=9.2522 alpha=33.37 beta=33.37 gamma=33.37
Sites, in units of the cell vectors:
Tb 0.0000 0.0000 0.0000
Pr 0.5000 0.5000 0.5000
Dy 0.2505 0.2505 0.2505
Dy 0.7495 0.7495 0.7495
Hg 0.1220 0.1220 0.1220
Hg 0.3727 0.3727 0.3727
Hg 0.6273 0.6273 0.6273
Hg 0.8780 0.8780 0.8780

## Properties
Spin magnetization = 1.074 Bohr magnetons per cell
VASP energy = -23.6 eV per cell
Calculated density = 11.11 g/cm3
DFT formation energy = -0.47 eV/atom